Record 1
# RuRhF2 PBE relaxed
# Fermi-level density of states	8.8	states/eV per cell
# symmetry	I-42d
# energy	-5.112	eV per atom
# polymorph energy (0 for the lowest one)	0.4368	eV per atom
# ΔE_f (raw)	-0.08	eV/f.u.
# density	6779	kg/m³
data_RuRhF2
_chemical_formula_sum 'Ru2 Rh2 F4'
_cell_length_a 7.0791
_cell_length_b 7.0791
_cell_length_c 5.5365
_cell_angle_alpha 50.26
_cell_angle_beta 50.26
_cell_angle_gamma 90.00
_space_group_name_H-M_alt 'P 1'
_space_group_IT_number 1
_space_group_name_Hall 'P 1'
loop_
_atom_site_label
_atom_site_type_symbol
_atom_site_fract_x
_atom_site_fract_y
_atom_site_fract_z
Ru1 Ru 0.5000 0.5000 0.0000
Ru2 Ru 0.2500 0.7500 0.5000
Rh1 Rh 0.0000 0.0000 0.0000
Rh2 Rh 0.7500 0.2500 0.5000
F1 F 0.5169 0.1250 0.2500
F2 F 0.2331 0.6250 0.2500
F3 F 0.3750 0.4831 0.7500
F4 F 0.8750 0.7669 0.7500

***

Record 2
# NaAcPr2S4 PBE relaxed
# Fermi-level density of states	2.5	states/eV per cell
# symmetry	P2/m
# energy	-5.842	eV per atom
# ΔE_f (raw)	-15.24	eV/f.u.
# density	5347	kg/m³
data_NaAcPr2S4
_chemical_formula_sum 'Na1 Ac1 Pr2 S4'
_cell_length_a 4.1531
_cell_length_b 7.1287
_cell_length_c 7.3263
_cell_angle_alpha 109.09
_cell_angle_beta 90.00
_cell_angle_gamma 90.00
_space_group_name_H-M_alt 'P 1'
_space_group_IT_number 1
_space_group_name_Hall 'P 1'
loop_
_atom_site_label
_atom_site_type_symbol
_atom_site_fract_x
_atom_site_fract_y
_atom_site_fract_z
Na1 Na 0.5000 0.5000 0.0000
Ac1 Ac 0.0000 0.0000 0.0000
Pr1 Pr 0.5000 0.0000 0.5000
Pr2 Pr 0.0000 0.5000 0.5000
S1 S 0.5000 0.2576 0.2570
S2 S 0.5000 0.7424 0.7430
S3 S 0.0000 0.2486 0.7419
S4 S 0.0000 0.7514 0.2581

***

Record 3
# K2LaI6 PBE relaxed
# Fermi-level density of states	13.1	states/eV per cell
# symmetry	Amm2
# energy	-3.072	eV per atom
# ΔE_f (raw)	-11.23	eV/f.u.
# density	4372	kg/m³
data_K2LaI6
_chemical_formula_sum 'K2 La1 I6'
_cell_length_a 4.9695
_cell_length_b 9.1424
_cell_length_c 9.3712
_cell_angle_alpha 119.20
_cell_angle_beta 90.00
_cell_angle_gamma 90.00
_space_group_name_H-M_alt 'P 1'
_space_group_IT_number 1
_space_group_name_Hall 'P 1'
loop_
_atom_site_label
_atom_site_type_symbol
_atom_site_fract_x
_atom_site_fract_y
_atom_site_fract_z
K1 K 0.0000 0.3224 0.6575
K2 K 0.0000 0.6649 0.3425
La1 La 0.5000 0.0065 0.0000
I1 I 0.5000 0.6372 0.0000
I2 I 0.5000 0.3665 0.3718
I3 I 0.5000 0.9947 0.6282
I4 I 0.0000 0.2522 0.0000
I5 I 0.0000 0.7590 0.7624
I6 I 0.0000 0.9966 0.2376

***

Record 4
# LiIn2P PBE relaxed
# Fermi-level density of states	1.8	states/eV per cell
# symmetry	Immm
# energy	-3.322	eV per atom
# formation enthalpy at 0 K	-0.122	eV/atom
# density	5036	kg/m³
data_LiIn2P
_chemical_formula_sum 'Li1 In2 P1'
_cell_length_a 6.4390
_cell_length_b 6.4390
_cell_length_c 4.2253
_cell_angle_alpha 70.81
_cell_angle_beta 70.81
_cell_angle_gamma 32.41
_space_group_name_H-M_alt 'P 1'
_space_group_IT_number 1
_space_group_name_Hall 'P 1'
loop_
_atom_site_label
_atom_site_type_symbol
_atom_site_fract_x
_atom_site_fract_y
_atom_site_fract_z
In1 In 0.9312 0.9312 0.0689
In2 In 0.5688 0.5688 0.4311
Li1 Li 0.7500 0.7500 0.7500
P1 P 0.2500 0.2500 0.2500

***

- Number 4 is which compound?
  LiIn2P

***

- Which of these has the lowest Fermi-level density of states?
  LiIn2P